K2AgAs | PBE | relaxed

Cell lengths 5.299, 5.299, 5.299 Å; angles 60.00, 60.00, 60.00 degrees
Element x y z (fractional)
1 K 0.000 0.000 0.000
2 K 0.250 0.250 0.250
3 As 0.750 0.750 0.750
4 Ag 0.500 0.500 0.500

Computed properties:
calculated total energy	-2.554	eV/atom
symmetry	F-43m, No. 216

---

K2AgAs | PBE | relaxed

Cell lengths 4.882, 4.882, 6.540 Å; angles 68.07, 68.07, 59.98 degrees
Element x y z (fractional)
1 K 0.228 0.228 0.316
2 K 0.021 0.021 0.936
3 As 0.792 0.792 0.622
4 Ag 0.458 0.458 0.625

Computed properties:
calculated total energy	-2.683	eV/atom
symmetry	R3m, No. 160

---

KAg3As | PBE | relaxed

Cell lengths 5.330, 5.330, 5.330 Å; angles 90.00, 90.00, 90.00 degrees
Element x y z (fractional)
1 As 0.500 0.500 0.500
2 Ag 0.500 0.000 0.000
3 Ag 0.000 0.500 0.000
4 Ag 0.000 0.000 0.500
5 K 0.000 0.000 0.000

Computed properties:
calculated total energy	-1.536	eV/atom
symmetry	Pm-3m, No. 221

---

K2AgAs | PBE | relaxed

Cell lengths 3.005, 6.189, 6.623 Å; angles 90.00, 90.00, 90.00 degrees
Element x y z (fractional)
1 K 0.000 0.000 0.875
2 K 0.500 0.500 0.375
3 Ag 0.000 0.000 0.375
4 As 0.500 0.500 0.875

Computed properties:
calculated total energy	-2.357	eV/atom
symmetry	Pmmm, No. 47

---

KAgAs3 | PBE | relaxed

Cell lengths 5.485, 5.485, 5.485 Å; angles 90.00, 90.00, 90.00 degrees
Each line ends with the local moment (μB).
Element x y z (fractional)
1 Ag 0.500 0.500 0.500  0.00
2 K 0.000 0.000 0.000  0.06
3 As 0.000 0.000 0.500  0.12
4 As 0.000 0.500 0.000  0.12
5 As 0.500 0.000 0.000  0.14

Computed properties:
calculated total energy	-1.960	eV/atom
symmetry	Pm-3m, No. 221

---

KAgAs2 | PBE | relaxed

Cell lengths 5.040, 5.040, 3.604 Å; angles 90.00, 90.00, 90.00 degrees
Element x y z (fractional)
1 K 0.500 0.000 0.500
2 As 0.500 0.500 0.000
3 As 0.000 0.000 0.000
4 Ag 0.000 0.500 0.500

Computed properties:
calculated total energy	-2.987	eV/atom
symmetry	P4/mmm, No. 123